# PuUSb PBE relaxed
data_PuUSb
_cell_length_a 3.6066
_cell_length_b 3.6066
_cell_length_c 10.1057
_cell_angle_alpha 90.00
_cell_angle_beta 90.00
_cell_angle_gamma 90.00
_symmetry_space_group_name_H-M 'I 4 m m'
_symmetry_Int_Tables_number 107
_symmetry_space_group_name_Hall 'I 4 -2'
loop_
_atom_site_label
_atom_site_fract_x
_atom_site_fract_y
_atom_site_fract_z
Pu1 0.0000 0.0000 0.0000
U1 0.0000 0.0000 0.6009
Sb1 0.0000 0.0000 0.3019
# Relative energy among the computed polymorphs in kJ per mole of atoms: 0.0
# Fermi-level density of states in states/eV/f.u.: 6.18
# Theoretical density in kg/m³: 15255
# VASP energy in eV per atom: -10.09
# Spin magnetization in μB/cell: 6.13